The following is a DFT calculation (GGA+U) of Co2PClO4 after structural relaxation.

abc: 8.1481 8.1481 8.1237
angles: 105.62 110.94 112.04
With the nearest neighbours (Å) after each atom.
Sites, in units of the cell vectors:
Co (0.2502, 0.5618, 0.3260)  3 O 1.93-2.04
P (0.7583, 0.2404, 0.9858)  4 O 1.50-1.59
O (0.7976, 0.0776, 0.0225)  1 P 1.55
O (0.9347, 0.9715, 0.7142)  1 P 1.59
O (0.2024, 0.9224, 0.9775)  1 P 1.55
Co (0.7498, 0.4382, 0.6740)  3 O 1.93-2.04
O (0.0653, 0.0285, 0.2858)  1 P 1.59
O (0.9423, 0.4501, 0.1592)  1 P 1.56
Cl (0.7634, 0.1908, 0.4220)  4 Co 2.41-2.53
Co (0.5000, 0.0000, 0.5000)  4 O 2.02-2.11
O (0.4449, 0.2249, 0.5225)  1 P 1.55
Co (0.0000, 0.0000, 0.0000)  4 O 2.02-2.11
O (0.2534, 0.4111, 0.4735)  1 P 1.50
P (0.7546, 0.7724, 0.5142)  4 O 1.50-1.59
O (0.7909, 0.7831, 0.3408)  1 P 1.56
Co (0.7359, 0.9242, 0.1740)  3 O 1.93-2.04
O (0.7573, 0.2205, 0.7858)  1 P 1.59
Co (0.0228, 0.2728, 0.7500)  4 O 2.05-2.18
Cl (0.7312, 0.6587, 0.9220)  4 Co 2.41-2.53
Co (0.9772, 0.7272, 0.2500)  4 O 2.05-2.18
O (0.4376, 0.7799, 0.0265)  1 P 1.50
O (0.0577, 0.5499, 0.8408)  1 P 1.56
Cl (0.2366, 0.8092, 0.5780)  4 Co 2.41-2.53
O (0.7466, 0.5889, 0.5265)  1 P 1.50
O (0.5551, 0.7751, 0.4775)  1 P 1.55
Co (0.2641, 0.0758, 0.8260)  3 O 1.93-2.04
O (0.2427, 0.7795, 0.2142)  1 P 1.59
O (0.5624, 0.2201, 0.9735)  1 P 1.50
Cl (0.2688, 0.3413, 0.0780)  4 Co 2.41-2.53
P (0.2417, 0.7596, 0.0142)  4 O 1.50-1.59
P (0.2454, 0.2276, 0.4858)  4 O 1.50-1.59
O (0.2091, 0.2169, 0.6592)  1 P 1.56

calculated volume: 413.1 Å³/cell
total magnetic moment: 0.00 Bohr magnetons per cell
energy relative to the lowest polymorph listed for this composition: 0.000 eV/atom